Entry 1:
Density functional theory data (PBE) for a relaxed KTaHg2 crystal.

The value obtained for the total magnetization is 0.00 μB per atom. As for the formation energy: 611 meV/atom. Its crystal system is orthorhombic. As for the electronic total energy: -2.78 eV per atom. As for the energy above the most stable polymorph in this dataset: 0.93 eV per formula unit.

Unit cell a=6.820 b=6.820 c=6.820 alpha=155.33 beta=131.60 gamma=55.06
Positions (direct):
Ta  0.220  0.720  0.500
K  0.500  0.500  0.000
Hg  0.013  0.013  0.000
Hg  0.767  0.267  0.500

Entry 2:
Density functional theory data (PBE) for a relaxed V3ReCl crystal.

The value obtained for the total magnetization is 1.02 μB per atom. The uncorrected formation energy is 1.255 eV per atom. Its crystal system is cubic. As for the electronic total energy: -7.08 eV per atom. As for the energy above the most stable polymorph in this dataset: 2.70 eV per formula unit.

Unit cell a=4.766 b=4.766 c=4.766 alpha=90.00 beta=90.00 gamma=90.00
Positions (direct):
V  0.500  0.000  0.000
Cl  0.500  0.500  0.500
V  0.000  0.000  0.500
Re  0.000  0.000  0.000
V  0.000  0.500  0.000

Entry 3:
Density functional theory data (PBE) for a relaxed Np2SbSe5 crystal.

The value obtained for the total magnetization is 0.88 μB per atom. The uncorrected formation energy is -0.772 eV per atom. Its crystal system is orthorhombic. As for the electronic total energy: -6.70 eV per atom. As for the energy above the most stable polymorph in this dataset: 0.40 eV per formula unit.

Unit cell a=5.651 b=7.312 c=13.833 alpha=90.00 beta=90.00 gamma=112.73
Positions (direct):
Se  0.251  0.501  0.750
Np  0.850  0.699  0.439
Np  0.150  0.301  0.939
Sb  0.804  0.609  0.750
Se  0.049  0.099  0.383
Se  0.951  0.901  0.617
Np  0.150  0.301  0.561
Se  0.749  0.499  0.250
Se  0.322  0.644  0.437
Se  0.322  0.644  0.063
Se  0.049  0.099  0.117
Se  0.951  0.901  0.883
Se  0.678  0.356  0.563
Sb  0.196  0.391  0.250
Np  0.850  0.699  0.061
Se  0.678  0.356  0.937

Entry 4:
Density functional theory data (PBE) for a relaxed HoPaSb2 crystal.

The value obtained for the total magnetization is 0.24 μB per atom. The uncorrected formation energy is -0.760 eV per atom. Its crystal system is monoclinic. As for the electronic total energy: -6.34 eV per atom. As for the energy above the most stable polymorph in this dataset: 0.00 eV per formula unit.

Unit cell a=7.582 b=7.554 c=9.766 alpha=104.92 beta=105.04 gamma=109.45
Positions (direct):
Ho  0.063  0.313  0.626
Pa  0.313  0.563  0.126
Sb  0.437  0.688  0.875
Ho  0.188  0.938  0.876
Sb  0.939  0.187  0.875
Pa  0.438  0.188  0.376
Sb  0.184  0.435  0.375
Sb  0.691  0.940  0.375
Sb  0.563  0.312  0.125
Pa  0.687  0.437  0.874
Ho  0.812  0.062  0.124
Sb  0.309  0.060  0.625
Sb  0.816  0.565  0.625
Pa  0.562  0.812  0.624
Sb  0.061  0.813  0.125
Ho  0.937  0.687  0.374

Entry 5:
Density functional theory data (PBE) for a relaxed BeBr3 crystal.

The value obtained for the total magnetization is 0.00 μB per atom. The uncorrected formation energy is 0.768 eV per atom. Its crystal system is orthorhombic. As for the electronic total energy: -1.42 eV per atom. As for the energy above the most stable polymorph in this dataset: 5.08 eV per formula unit.

Unit cell a=5.096 b=5.096 c=3.601 alpha=90.00 beta=90.00 gamma=90.11
Positions (direct):
Br  0.000  0.500  0.500
Be  0.000  0.000  0.000
Br  0.500  0.500  0.000
Br  0.500  0.000  0.500

Entry 6:
Density functional theory data (PBE) for a relaxed TbCeTc crystal.

The value obtained for the total magnetization is 0.00 μB per atom. As for the formation energy: -76 meV/atom. Its crystal system is monoclinic. As for the electronic total energy: -7.05 eV per atom. As for the energy above the most stable polymorph in this dataset: 0.00 eV per formula unit.

Unit cell a=4.185 b=6.079 c=7.502 alpha=120.16 beta=90.00 gamma=110.13
Positions (direct):
Tb  0.407  0.813  0.122
Ce  0.839  0.678  0.450
Tb  0.593  0.187  0.878
Ce  0.161  0.322  0.550
Tc  0.126  0.252  0.216
Tc  0.874  0.748  0.784

Entry 7:
Density functional theory data (PBE) for a relaxed PaTi2ReC4 crystal.

The value obtained for the total magnetization is 0.00 μB per atom. As for the formation energy: -287 meV/atom. Its crystal system is orthorhombic. As for the electronic total energy: -9.62 eV per atom.

Unit cell a=3.233 b=5.927 c=10.818 alpha=90.00 beta=90.00 gamma=105.82
Positions (direct):
C  0.451  0.901  0.750
Pa  0.891  0.782  0.250
Re  0.846  0.692  0.750
C  0.000  0.000  0.500
Ti  0.373  0.747  0.537
C  0.735  0.469  0.886
Ti  0.627  0.253  0.037
C  0.265  0.531  0.386
Ti  0.627  0.253  0.463
C  0.265  0.531  0.114
C  0.549  0.099  0.250
Ti  0.373  0.747  0.963
Re  0.154  0.308  0.250
Pa  0.109  0.218  0.750
C  0.000  0.000  0.000
C  0.735  0.469  0.614

Entry 8:
Density functional theory data (PBE) for a relaxed SrZr2As crystal.

The value obtained for the total magnetization is 0.46 μB per atom. As for the formation energy: 191 meV/atom. Its crystal system is cubic. As for the electronic total energy: -5.67 eV per atom.

Unit cell a=5.151 b=5.151 c=5.151 alpha=60.00 beta=60.00 gamma=60.00
Positions (direct):
Zr  0.250  0.250  0.250
As  0.500  0.500  0.500
Sr  0.750  0.750  0.750
Zr  0.000  0.000  0.000

Entry 9:
Density functional theory data (PBE) for a relaxed LaMg2Si crystal.

The value obtained for the total magnetization is 0.00 μB per atom. The uncorrected formation energy is -0.034 eV per atom. Its crystal system is tetragonal. As for the electronic total energy: -3.42 eV per atom.

Unit cell a=4.357 b=4.357 c=11.451 alpha=79.03 beta=79.03 gamma=90.00
Positions (direct):
Mg  0.594  0.125  0.250
Mg  0.375  0.406  0.750
Mg  0.875  0.844  0.750
Si  0.250  0.750  0.500
Si  0.500  0.500  0.000
La  0.750  0.250  0.500
Mg  0.156  0.625  0.250
La  0.000  0.000  0.000

Entry 10:
Density functional theory data (PBE) for a relaxed Np3BiPd12 crystal.

The value obtained for the total magnetization is 0.63 μB per atom. As for the formation energy: -388 meV/atom. Its crystal system is tetragonal. As for the electronic total energy: -6.95 eV per atom.

Unit cell a=4.147 b=4.147 c=16.555 alpha=90.00 beta=90.00 gamma=90.00
Positions (direct):
Pd  0.500  0.500  0.750
Pd  0.000  0.500  0.872
Np  0.000  0.000  0.250
Pd  0.500  0.000  0.872
Bi  0.000  0.000  0.000
Pd  0.500  0.500  0.000
Pd  0.500  0.000  0.625
Pd  0.500  0.000  0.128
Np  0.000  0.000  0.500
Pd  0.500  0.500  0.250
Np  0.000  0.000  0.750
Pd  0.000  0.500  0.625
Pd  0.000  0.500  0.128
Pd  0.500  0.000  0.375
Pd  0.500  0.500  0.500
Pd  0.000  0.500  0.375

Entry 11:
Density functional theory data (PBE) for a relaxed ScTaSi2Pt crystal.

The value obtained for the total magnetization is 0.00 μB per atom. The uncorrected formation energy is 0.562 eV per atom. Its crystal system is tetragonal. As for the electronic total energy: -6.45 eV per atom.

Unit cell a=4.592 b=5.094 c=4.592 alpha=90.00 beta=90.00 gamma=90.00
Positions (direct):
Pt  0.000  0.000  0.000
Sc  0.500  0.500  0.500
Si  0.000  0.000  0.500
Si  0.500  0.000  0.000
Ta  0.000  0.500  0.000

Entry 12:
Density functional theory data (PBE) for a relaxed DyPuCu2O6 crystal.

The value obtained for the total magnetization is 0.10 μB per atom. The uncorrected formation energy is -2.056 eV per atom. Its crystal system is trigonal. As for the electronic total energy: -7.74 eV per atom.

Unit cell a=5.441 b=5.441 c=6.048 alpha=90.00 beta=116.74 gamma=120.00
Positions (direct):
O  0.850  0.762  0.218
O  0.523  0.909  0.742
Pu  0.996  0.998  0.980
O  0.143  0.233  0.742
O  0.847  0.613  0.742
O  0.470  0.086  0.218
O  0.146  0.383  0.218
Cu  0.511  0.255  0.752
Cu  0.483  0.741  0.209
Dy  0.997  0.498  0.480